1.
3
Lattice="0.0000 3.5131 3.5131 3.5131 0.0000 3.5131 3.5131 3.5131 0.0000" Properties=species:S:1:pos:R:3 comment="PBE BaGePt, optimized geometry" total_energy_ev_per_atom=-4.4239 mass_density_g_cm3=7.76 pbc="T T T"
Ba 1.7565 1.7565 1.7565
Ge 5.2696 5.2696 5.2696
Pt 0.0000 0.0000 0.0000

2.
8
Lattice="4.2429 0.0000 0.0000 0.0000 7.2717 0.0000 0.0000 0.0000 5.9964" Properties=species:S:1:pos:R:3 comment="PBE NaErSO, optimized geometry" polymorph_energy_kj_per_mol_fu=61 total_energy_ev_per_atom=-5.9208 mass_density_g_cm3=4.28 pbc="T T T"
Er 2.1215 6.2529 0.2292
Er 2.1215 1.0188 3.2274
Na 0.0000 2.1649 0.6745
Na 0.0000 5.1068 3.6726
O 2.1215 0.8626 1.1435
O 2.1215 6.4091 4.1416
S 0.0000 4.9484 0.8971
S 0.0000 2.3233 3.8953

3.
3
Lattice="3.1454 3.6515 0.6675 -0.6398 3.1203 3.6779 3.0340 -0.0672 3.8030" Properties=species:S:1:pos:R:3 comment="PBE PaAgPb, optimized geometry" total_energy_ev_per_atom=-5.0605 mass_density_g_cm3=11.13 pbc="T T T"
Ag 0.0000 0.0000 0.0000
Pa 1.3849 1.6761 2.0371
Pb 4.1547 5.0284 6.1114

4.
4
Lattice="-3.6478 -0.9768 0.3625 0.9083 -1.9890 3.7799 0.8575 5.0724 2.4630" Properties=species:S:1:pos:R:3 comment="PBE ErPuPt2, optimized geometry" formation_enthalpy_0k_kj_per_mol_fu=-420 total_energy_ev_per_atom=-8.7886 mass_density_g_cm3=14.93 pbc="T T T"
Er -1.7897 4.2780 2.6811
Pt -3.1710 1.6838 1.6480
Pt 0.5823 3.3271 4.1332
Pu -0.8001 0.7389 3.1035

5.
62
Lattice="5.9678 0.0000 0.0000 0.0000 11.9049 0.0000 -2.2197 0.0000 8.4995" Properties=species:S:1:pos:R:3 comment="PBE K2ZnH12S2O14, optimized geometry" polymorph_energy_kj_per_mol_fu=9 total_energy_ev_per_atom=-5.2280 mass_density_g_cm3=2.44 pbc="T T T"
H 1.9587 1.7638 0.2898
H 3.6538 11.2434 0.7997
H 5.5967 2.2997 1.2107
H 1.4565 10.8146 1.8495
H 5.0624 7.1464 1.9007
H 4.8976 4.3913 2.0784
H -0.0397 10.3438 2.1714
H -0.2045 1.1940 2.3491
H 3.4014 4.8622 2.4002
H -0.7388 8.2521 3.0391
H 1.2041 5.2910 3.4501
H 2.8992 7.7162 3.9600
H 0.8488 4.1887 4.5395
H 2.5439 6.6139 5.0494
H 4.4868 3.6527 5.4604
H 0.3467 7.0427 6.0993
H 3.9525 10.7109 6.1504
H 3.7877 1.5611 6.3281
H -1.1496 7.5136 6.4211
H -1.3144 4.7585 6.5988
H 2.2915 1.0903 6.6500
H -1.8487 9.6052 7.2888
H 0.0943 0.6615 7.6998
H 1.7894 10.1411 8.2097
K 1.7810 7.8418 1.1674
K 3.0769 1.8893 3.0823
K 0.6711 10.0156 5.4172
K 1.9671 4.0631 7.3321
O 1.8617 0.7909 0.0759
O 4.3464 6.7507 0.5109
O 2.3756 3.2169 0.7522
O 0.0414 3.9090 0.8718
O 0.6234 10.4539 1.4378
O 5.2864 1.3957 1.4876
O 1.8071 5.2618 1.8910
O 3.0508 11.2142 2.3587
O -0.4285 7.3481 2.7621
O 4.2345 4.5014 2.8119
O 4.8165 9.8614 3.3779
O 2.4824 9.1694 3.4976
O 0.5115 0.7983 3.7389
O 2.9962 6.7434 4.1738
O 0.7519 5.1615 4.3257
O 3.2365 11.1066 4.7606
O 1.2657 2.7355 5.0019
O -1.0684 2.0435 5.1215
O -0.4864 7.4035 5.6876
O 4.1765 4.5568 5.7374
O 0.6972 0.6907 6.1408
O 1.9409 6.6431 6.6084
O -1.5383 10.5092 7.0119
O 3.1246 1.4510 7.0617
O 3.7066 7.9960 7.6277
O 1.3725 8.6880 7.7473
O -0.5984 5.1542 7.9886
O 1.8863 11.1140 8.4235
S 1.4515 4.3860 0.7420
S 3.4064 10.3385 3.5077
S 0.3416 1.5664 4.9918
S 2.2966 7.5189 7.7575
Zn 0.0000 0.0000 0.0000
Zn -1.1099 5.9525 4.2497

6.
4
Lattice="3.3397 -3.2753 -0.2765 -0.8850 -4.3749 1.4265 -0.3652 -3.4593 -3.1396" Properties=species:S:1:pos:R:3 comment="PBE NaAlSnPt, optimized geometry" polymorph_energy_kj_per_mol_fu=0 total_energy_ev_per_atom=-4.0636 mass_density_g_cm3=8.30 pbc="T T T"
Al 1.0447 -5.5547 -0.9948
Na 1.5671 -8.3321 -1.4922
Pt 0.5224 -2.7774 -0.4974
Sn 0.0000 0.0000 0.0000